Entry 1:
# Rb2Tl3WSe6 | Alexandria via LeMat-Bulk | PBE | optimized geometry
data_Rb2Tl3WSe6
_cell_length_a 7.912
_cell_length_b 14.822
_cell_length_c 7.323
_cell_angle_alpha 90.00
_cell_angle_beta 113.11
_cell_angle_gamma 90.00
_symmetry_space_group_name_H-M 'C 1 2/m 1'
_symmetry_Int_Tables_number 12
loop_
_symmetry_equiv_pos_as_xyz
'x,y,z'
'-x,-y,-z'
'-x,y,-z'
'x,-y,z'
'x+1/2,y+1/2,z'
'-x+1/2,-y+1/2,-z'
'-x+1/2,y+1/2,-z'
'x+1/2,-y+1/2,z'
loop_
_atom_site_label
_atom_site_type_symbol
_atom_site_fract_x
_atom_site_fract_y
_atom_site_fract_z
Rb1 Rb 0.000 0.177 0.000
Tl1 Tl 0.000 0.000 0.500
Tl2 Tl 0.000 0.365 0.500
W1 W 0.000 0.500 0.000
Se1 Se 0.205 0.379 0.225
Se2 Se 0.205 0.500 0.796
# formation energy without anion corrections	-0.53	eV/atom
# raw total energy	-4.107	eV/atom


Entry 2:
# AcPdPt4 | Alexandria via LeMat-Bulk | PBE | optimized geometry
data_AcPdPt4
_cell_length_a 7.722
_cell_length_b 7.722
_cell_length_c 7.722
_cell_angle_alpha 90.00
_cell_angle_beta 90.00
_cell_angle_gamma 90.00
_symmetry_space_group_name_H-M 'F -4 3 m'
_symmetry_Int_Tables_number 216
_symmetry_space_group_name_Hall 'F -4 2 3'
loop_
_atom_site_label
_atom_site_type_symbol
_atom_site_fract_x
_atom_site_fract_y
_atom_site_fract_z
Ac1 Ac 0.000 0.000 0.000
Pd1 Pd 0.250 0.250 0.250
Pt1 Pt 0.124 0.124 0.624
# raw total energy	-6.219	eV/atom
# energy of formation from the pure elements	-3.8	eV per formula unit


Entry 3:
# Sr3PmSn3 | Alexandria via LeMat-Bulk | PBE | optimized geometry
data_Sr3PmSn3
_cell_length_a 10.427
_cell_length_b 12.926
_cell_length_c 8.029
_cell_angle_alpha 90.00
_cell_angle_beta 91.28
_cell_angle_gamma 90.00
_symmetry_space_group_name_H-M 'C 1 2/m 1'
_symmetry_Int_Tables_number 12
loop_
_symmetry_equiv_pos_as_xyz
'x,y,z'
'-x,-y,-z'
'-x,y,-z'
'x,-y,z'
'x+1/2,y+1/2,z'
'-x+1/2,-y+1/2,-z'
'-x+1/2,y+1/2,-z'
'x+1/2,-y+1/2,z'
loop_
_atom_site_label
_atom_site_type_symbol
_atom_site_fract_x
_atom_site_fract_y
_atom_site_fract_z
Sr1 Sr 0.000 0.146 0.000
Sr2 Sr 0.000 0.252 0.500
Sr3 Sr 0.146 0.500 0.156
Pm1 Pm 0.248 0.500 0.649
Sn1 Sn 0.066 0.000 0.658
Sn2 Sn 0.215 0.299 0.839
# raw total energy	-3.575	eV/atom
# energy of formation from the pure elements	-3.2	eV per formula unit


Entry 4:
# TbYZnCd | Alexandria via LeMat-Bulk | PBE | optimized geometry
data_TbYZnCd
_cell_length_a 7.354
_cell_length_b 7.354
_cell_length_c 7.354
_cell_angle_alpha 90.00
_cell_angle_beta 90.00
_cell_angle_gamma 90.00
_symmetry_space_group_name_H-M 'F -4 3 m'
_symmetry_Int_Tables_number 216
_symmetry_space_group_name_Hall 'F -4 2 3'
loop_
_atom_site_label
_atom_site_type_symbol
_atom_site_fract_x
_atom_site_fract_y
_atom_site_fract_z
Tb1 Tb 0.000 0.000 0.000
Y1 Y 0.000 0.000 0.500
Zn1 Zn 0.250 0.250 0.250
Cd1 Cd 0.250 0.250 0.750
# raw total energy	-3.648	eV/atom
# ΔE to the lowest computed polymorph	16.8	meV per atom
# energy of formation from the pure elements	-1.3	eV per formula unit


Entry 5:
# CuReSN2 | Alexandria via LeMat-Bulk | PBE | optimized geometry
data_CuReSN2
_cell_length_a 3.702
_cell_length_b 3.702
_cell_length_c 4.605
_cell_angle_alpha 90.00
_cell_angle_beta 90.00
_cell_angle_gamma 90.00
_symmetry_space_group_name_H-M 'P 4/m m m'
_symmetry_Int_Tables_number 123
_symmetry_space_group_name_Hall '-P 4 2'
loop_
_atom_site_label
_atom_site_type_symbol
_atom_site_fract_x
_atom_site_fract_y
_atom_site_fract_z
Cu1 Cu 0.000 0.000 0.000
Re1 Re 0.500 0.500 0.500
S1 S 0.000 0.000 0.500
N1 N 0.000 0.500 0.000
# formation energy without anion corrections	1.93	eV/atom
# raw total energy	-5.534	eV/atom
# ΔE to the lowest computed polymorph	1393.5	meV per atom


Entry 6:
# Pr4DyTl5 | Alexandria via LeMat-Bulk | PBE | optimized geometry
data_Pr4DyTl5
_cell_length_a 3.849
_cell_length_b 3.849
_cell_length_c 20.101
_cell_angle_alpha 90.00
_cell_angle_beta 90.00
_cell_angle_gamma 90.00
_symmetry_space_group_name_H-M 'P 4/m m m'
_symmetry_Int_Tables_number 123
_symmetry_space_group_name_Hall '-P 4 2'
loop_
_atom_site_label
_atom_site_type_symbol
_atom_site_fract_x
_atom_site_fract_y
_atom_site_fract_z
Pr1 Pr 0.000 0.000 0.102
Pr2 Pr 0.000 0.000 0.306
Dy1 Dy 0.000 0.000 0.500
Tl1 Tl 0.500 0.500 0.000
Tl2 Tl 0.500 0.500 0.205
Tl3 Tl 0.500 0.500 0.409
# raw total energy	-3.942	eV/atom
# energy of formation from the pure elements	-3.9	eV per formula unit


Entry 7:
# NdEuScAl | Alexandria via LeMat-Bulk | PBE | optimized geometry
data_NdEuScAl
_cell_length_a 7.555
_cell_length_b 7.555
_cell_length_c 7.555
_cell_angle_alpha 90.00
_cell_angle_beta 90.00
_cell_angle_gamma 90.00
_symmetry_space_group_name_H-M 'F -4 3 m'
_symmetry_Int_Tables_number 216
_symmetry_space_group_name_Hall 'F -4 2 3'
loop_
_atom_site_label
_atom_site_type_symbol
_atom_site_fract_x
_atom_site_fract_y
_atom_site_fract_z
Nd1 Nd 0.000 0.000 0.000
Eu1 Eu 0.250 0.250 0.750
Sc1 Sc 0.000 0.000 0.500
Al1 Al 0.250 0.250 0.250
# raw total energy	-6.293	eV/atom
# energy of formation from the pure elements	-0.1	eV per formula unit


Entry 8:
# Dy5GeP4 | Alexandria via LeMat-Bulk | PBE | optimized geometry
data_Dy5GeP4
_cell_length_a 9.014
_cell_length_b 9.014
_cell_length_c 5.697
_cell_angle_alpha 90.00
_cell_angle_beta 90.00
_cell_angle_gamma 90.00
_symmetry_space_group_name_H-M 'I 4/m'
_symmetry_Int_Tables_number 87
_symmetry_space_group_name_Hall '-I 4'
loop_
_atom_site_label
_atom_site_type_symbol
_atom_site_fract_x
_atom_site_fract_y
_atom_site_fract_z
Dy1 Dy 0.000 0.000 0.000
Dy2 Dy 0.104 0.693 0.500
Ge1 Ge 0.000 0.000 0.500
P1 P 0.101 0.700 0.000
# raw total energy	-6.331	eV/atom
# energy of formation from the pure elements	-14.0	eV per formula unit


| no. | magnetization (μB/cell) |
| --- | --- |
| 1 | 0.0 |
| 2 | 0.0 |
| 3 | 0.0 |
| 4 | 0.0 |
| 5 | 1.0 |
| 6 | 0.0 |
| 7 | 31.1 |
| 8 | 0.0 |